## Sm2Te2F (PBE)

Data for a relaxed structure of Sm2Te2F.

Raw formation energy   -1.938 eV per atom
Mass density   6.17 g/cm3
Total magnetization   0.0 μB/f.u.
Polymorph energy (0 for the lowest one)   0.000 eV per atom

Cell: 4.211 4.211 17.714 Å, 96.83 96.83 90.00°
Fractional coordinates of all 10 atoms:
Te  0.182  0.182  0.363
Te  0.068  0.568  0.137
Te  0.432  0.932  0.863
Te  0.818  0.818  0.637
Sm  0.535  0.035  0.070
Sm  0.715  0.715  0.430
Sm  0.285  0.285  0.570
Sm  0.965  0.465  0.930
F  0.750  0.250  0.500
F  0.500  0.500  0.000